# 1
An optimized crystal structure of CsVF4. Source: Alexandria via LeMat-Bulk, functional GGA-PBEsol.

Lattice parameters (Å, degrees): 6.591 7.647 7.641 90.00 90.00 90.00
Last column: magnetic moment on the atom in μB.
Atoms (fractional coordinates):
F: 0.713 0.241 0.769  0.01
F: 0.018 0.000 0.201  0.00
F: 0.713 0.759 0.231  0.01
F: 0.982 0.500 0.701  0.00
F: 0.018 0.000 0.799  0.00
F: 0.024 0.300 0.000  0.00
F: 0.287 0.259 0.269  0.01
F: 0.287 0.741 0.269  0.01
F: 0.976 0.200 0.500  0.00
F: 0.713 0.241 0.231  0.01
F: 0.713 0.759 0.769  0.01
F: 0.976 0.800 0.500  0.00
F: 0.287 0.741 0.731  0.01
F: 0.982 0.500 0.299  0.00
F: 0.024 0.700 0.000  0.00
F: 0.287 0.259 0.731  0.01
V: 0.000 0.750 0.750  1.85
V: 0.000 0.250 0.250  1.85
V: 0.000 0.750 0.250  1.85
V: 0.000 0.250 0.750  1.85
Cs: 0.535 0.500 0.500  0.00
Cs: 0.465 0.000 0.000  0.00
Cs: 0.486 0.500 0.000  0.00
Cs: 0.514 0.000 0.500  0.00

Formation energy from raw total energies (meV/atom): -2908
SG: Pmmn, No. 59
Calculated total energy (Ry/atom): -0.438
Magnetic moment (μB/cell): 8.00

=====

# 2
An optimized crystal structure of Cs3VF6. Source: Alexandria via LeMat-Bulk, functional GGA-PBEsol.

Lattice parameters (Å, degrees): 6.639 6.639 6.639 60.00 60.00 60.00
Last column: magnetic moment on the atom in μB.
Atoms (fractional coordinates):
Cs: 0.750 0.750 0.750  0.00
Cs: 0.500 0.500 0.500  0.00
Cs: 0.250 0.250 0.250  0.00
F: 0.206 0.206 0.794  0.00
F: 0.206 0.794 0.794  0.00
F: 0.794 0.206 0.206  0.00
F: 0.794 0.206 0.794  0.00
F: 0.206 0.794 0.206  0.00
F: 0.794 0.794 0.206  0.00
V: 0.000 0.000 0.000  1.84

Formation energy from raw total energies (meV/atom): -2861
SG: Fm-3m, No. 225
Calculated total energy (Ry/atom): -0.387
Magnetic moment (μB/cell): 2.00

=====

# 3
An optimized crystal structure of CsWF7. Source: Alexandria via LeMat-Bulk, functional GGA-PBEsol.

Lattice parameters (Å, degrees): 10.600 10.600 10.600 90.00 90.00 90.00
Atoms (fractional coordinates):
F: 0.931 0.867 0.743
F: 0.367 0.757 0.069
F: 0.431 0.633 0.257
F: 0.885 0.856 0.228
F: 0.133 0.257 0.069
F: 0.385 0.644 0.772
F: 0.069 0.133 0.257
F: 0.867 0.757 0.431
F: 0.115 0.356 0.272
F: 0.385 0.856 0.272
F: 0.243 0.569 0.133
F: 0.772 0.115 0.144
F: 0.728 0.885 0.644
F: 0.144 0.728 0.615
F: 0.757 0.431 0.867
F: 0.133 0.243 0.569
F: 0.243 0.931 0.633
F: 0.069 0.367 0.757
F: 0.326 0.326 0.326
F: 0.867 0.743 0.931
F: 0.728 0.615 0.144
F: 0.856 0.272 0.385
F: 0.356 0.272 0.115
F: 0.743 0.931 0.867
F: 0.674 0.826 0.174
F: 0.569 0.367 0.743
F: 0.272 0.385 0.856
F: 0.826 0.174 0.674
F: 0.257 0.069 0.133
F: 0.326 0.174 0.826
F: 0.228 0.885 0.856
F: 0.367 0.743 0.569
F: 0.174 0.826 0.326
F: 0.674 0.674 0.674
F: 0.257 0.431 0.633
F: 0.615 0.356 0.228
F: 0.272 0.115 0.356
F: 0.644 0.728 0.885
F: 0.356 0.228 0.615
F: 0.931 0.633 0.243
F: 0.826 0.326 0.174
F: 0.633 0.257 0.431
F: 0.633 0.243 0.931
F: 0.885 0.644 0.728
F: 0.569 0.133 0.243
F: 0.856 0.228 0.885
F: 0.772 0.385 0.644
F: 0.743 0.569 0.367
F: 0.144 0.772 0.115
F: 0.174 0.674 0.826
F: 0.431 0.867 0.757
F: 0.644 0.772 0.385
F: 0.115 0.144 0.772
F: 0.615 0.144 0.728
F: 0.757 0.069 0.367
F: 0.228 0.615 0.356
W: 0.723 0.223 0.277
W: 0.223 0.277 0.723
W: 0.277 0.777 0.723
W: 0.223 0.223 0.223
W: 0.723 0.277 0.777
W: 0.777 0.777 0.777
W: 0.777 0.723 0.277
W: 0.277 0.723 0.223
Cs: 0.000 0.000 0.000
Cs: 0.500 0.000 0.500
Cs: 0.500 0.500 0.500
Cs: 0.000 0.500 0.500
Cs: 0.500 0.500 0.000
Cs: 0.000 0.000 0.500
Cs: 0.000 0.500 0.000
Cs: 0.500 0.000 0.000

Formation energy from raw total energies (meV/atom): -2797
SG: Pa-3, No. 205
Calculated total energy (Ry/atom): -0.436
Magnetic moment (μB/cell): 0.68